Entry 1:
Below is a relaxed Dy3Er2Mg3 crystal, with properties calculated at the PBE level.

a = 6.8798 Å, b = 6.8798 Å, c = 5.5638 Å
α = 90.00°, β = 90.00°, γ = 120.00°
Space group P-6m2 (No. 187)
Symmetry-distinct sites (fractional):
Dy: 0.0031 0.5016 0.0000 x3
Er: 0.0000 0.0000 0.0000 x1
Er: 0.3333 0.6667 0.5000 x1
Mg: 0.3410 0.1705 0.5000 x3

Output
energy relative to the lowest polymorph listed for this composition	56	meV per atom

---

Entry 2:
Below is a relaxed DyErMg6 crystal, with properties calculated at the PBE level.

a = 5.068 Å, b = 7.284 Å, c = 10.860 Å
α = 90.00°, β = 90.00°, γ = 90.00°
Space group Amm2 (No. 38)
Symmetry-distinct sites (fractional):
Dy: 0.000 0.000 0.000 x2
Er: 0.500 0.000 0.260 x2
Mg: 0.000 0.000 0.458 x2
Mg: 0.000 0.216 0.730 x4
Mg: 0.500 0.000 0.801 x2
Mg: 0.500 0.216 0.530 x4

Output
energy relative to the lowest polymorph listed for this composition	3	meV per atom

---

Entry 3:
Below is a relaxed Dy2ErMg crystal, with properties calculated at the PBE level.

a = 6.995 Å, b = 12.090 Å, c = 5.519 Å
α = 90.00°, β = 90.00°, γ = 90.00°
Space group Cmcm (No. 63)
Symmetry-distinct sites (fractional):
Dy: 0.245 0.085 0.250 x8
Er: 0.000 0.331 0.250 x4
Mg: 0.000 0.167 0.750 x4

Output
energy relative to the lowest polymorph listed for this composition	0	meV per atom

---

Entry 4:
Below is a relaxed Dy2ErMg crystal, with properties calculated at the PBE level.

a = 5.559 Å, b = 7.099 Å, c = 11.923 Å
α = 90.00°, β = 90.00°, γ = 90.00°
Space group Amm2 (No. 38)
Symmetry-distinct sites (fractional):
Dy: 0.000 0.000 0.000 x2
Dy: 0.000 0.250 0.251 x4
Dy: 0.500 0.000 0.675 x2
Er: 0.000 0.000 0.501 x2
Er: 0.500 0.000 0.177 x2
Mg: 0.500 0.247 0.422 x4

Output
energy relative to the lowest polymorph listed for this composition	35	meV per atom

---

Entry 5:
Below is a relaxed DyErMg2 crystal, with properties calculated at the PBE level.

a = 5.442 Å, b = 11.988 Å, c = 6.699 Å
α = 90.00°, β = 90.00°, γ = 90.00°
Space group Ama2 (No. 40)
Symmetry-distinct sites (fractional):
Dy: 0.250 0.079 0.000 x4
Er: 0.250 0.334 0.231 x4
Mg: 0.250 0.083 0.490 x4
Mg: 0.250 0.327 0.733 x4

Output
energy relative to the lowest polymorph listed for this composition	86	meV per atom

---

Entry 6:
Below is a relaxed DyErMg crystal, with properties calculated at the PBE level.

a = 3.637 Å, b = 17.150 Å, c = 5.443 Å
α = 90.00°, β = 90.00°, γ = 90.00°
Space group Cmcm (No. 63)
Symmetry-distinct sites (fractional):
Dy: 0.000 0.094 0.250 x4
Er: 0.000 0.226 0.750 x4
Mg: 0.000 0.435 0.250 x4

Output
energy relative to the lowest polymorph listed for this composition	0	meV per atom

---

Entry 7:
Below is a relaxed DyErMg6 crystal, with properties calculated at the PBE level.

a = 5.166 Å, b = 7.268 Å, c = 5.167 Å
α = 90.00°, β = 90.00°, γ = 90.00°
Space group Pmm2 (No. 25)
Symmetry-distinct sites (fractional):
Dy: 0.000 0.000 0.000 x1
Er: 0.500 0.500 0.509 x1
Mg: 0.000 0.250 0.500 x2
Mg: 0.000 0.500 0.001 x1
Mg: 0.500 0.000 0.509 x1
Mg: 0.500 0.250 0.010 x2

Output
energy relative to the lowest polymorph listed for this composition	0	meV per atom

---

Entry 8:
Below is a relaxed Dy3Er2Mg3 crystal, with properties calculated at the PBE level.

a = 6.833 Å, b = 5.499 Å, c = 6.844 Å
α = 90.00°, β = 118.76°, γ = 90.00°
Space group Pm (No. 6)
Symmetry-distinct sites (fractional):
Dy: 0.000 0.000 0.000 x1
Dy: 0.009 0.000 0.496 x1
Dy: 0.680 0.500 0.313 x1
Er: 0.184 0.500 0.820 x1
Er: 0.502 0.000 0.497 x1
Mg: 0.181 0.500 0.323 x1
Mg: 0.501 0.000 0.998 x1
Mg: 0.676 0.500 0.818 x1

Output
energy relative to the lowest polymorph listed for this composition	0	meV per atom

---

Entry 9:
Below is a relaxed Dy2Er2Mg crystal, with properties calculated at the PBE level.

a = 9.080 Å, b = 9.080 Å, c = 3.666 Å
α = 90.00°, β = 90.00°, γ = 90.00°
Space group P4/mbm (No. 127)
Symmetry-distinct sites (fractional):
Dy: 0.172 0.328 0.000 x4
Er: 0.129 0.629 0.500 x4
Mg: 0.000 0.000 0.500 x2

Output
E	-3.783	eV per atom

---

Entry 10:
Below is a relaxed DyErMg2 crystal, with properties calculated at the PBE level.

a = 7.543 Å, b = 7.543 Å, c = 7.543 Å
α = 90.00°, β = 90.00°, γ = 90.00°
Space group Fm-3m (No. 225)
Symmetry-distinct sites (fractional):
Dy: 0.000 0.000 0.000 x4
Er: 0.000 0.000 0.500 x4
Mg: 0.250 0.250 0.250 x8

Output
energy relative to the lowest polymorph listed for this composition	0	meV per atom

---

Entry 11:
Below is a relaxed Dy2ErMgPd4 crystal, with properties calculated at the PBE level.

a = 4.840 Å, b = 4.840 Å, c = 6.840 Å
α = 90.00°, β = 90.00°, γ = 90.00°
Space group P4/mmm (No. 123)
Symmetry-distinct sites (fractional):
Dy: 0.000 0.000 0.000 x1
Dy: 0.500 0.500 0.500 x1
Er: 0.000 0.000 0.500 x1
Mg: 0.500 0.500 0.000 x1
Pd: 0.000 0.500 0.246 x4

Output
E	-5.360	eV per atom

---

Entry 12:
Below is a relaxed Dy2ErMg3Pd2Pt crystal, with properties calculated at the PBE level.

a = 4.103 Å, b = 12.757 Å, c = 7.360 Å
α = 90.00°, β = 90.00°, γ = 90.00°
Space group Amm2 (No. 38)
Symmetry-distinct sites (fractional):
Dy: 0.000 0.204 0.000 x4
Er: 0.000 0.000 0.390 x2
Mg: 0.500 0.000 0.041 x2
Mg: 0.500 0.122 0.674 x4
Pd: 0.500 0.166 0.297 x4
Pt: 0.000 0.000 0.795 x2

Output
E	-4.652	eV per atom